No. 1
A plane-wave DFT calculation with PBE was carried out for an optimized crystal structure of GdAgGeSe3.

Geometry as POSCAR:
```
GdAgGeSe3
1.0
-3.951 -0.895 -5.664
-1.487 -4.052 -5.465
-7.308 -5.329 5.940
Ag Gd Ge Se
2 2 2 6
direct
0.478 0.478 0.250 Ag
0.522 0.522 0.750 Ag
0.000 0.000 0.000 Gd
0.000 0.000 0.500 Gd
0.772 0.772 0.250 Ge
0.228 0.228 0.750 Ge
0.351 0.351 0.066 Se
0.110 0.110 0.250 Se
0.351 0.351 0.434 Se
0.649 0.649 0.566 Se
0.890 0.890 0.750 Se
0.649 0.649 0.934 Se
```

Output
**Spin magnetization**: 0.01 μB per formula unit
**V**: 24.11 Å³/atom

***

No. 2
A plane-wave DFT calculation with PBE was carried out for an optimized crystal structure of GdAgGeTe2Se.

Geometry as POSCAR:
```
GdAgGeTe2Se
1.0
-1.850 2.883 -6.686
-0.969 -5.520 5.003
-7.832 5.480 4.530
Ag Gd Ge Se Te
2 2 2 2 4
direct
0.016 0.984 0.250 Ag
0.984 0.016 0.750 Ag
0.500 0.500 0.000 Gd
0.500 0.500 0.500 Gd
0.735 0.265 0.250 Ge
0.265 0.735 0.750 Ge
0.404 0.596 0.250 Se
0.596 0.404 0.750 Se
0.155 0.845 0.064 Te
0.155 0.845 0.436 Te
0.845 0.155 0.564 Te
0.845 0.155 0.936 Te
```

Output
**Spin magnetization**: 0.00 μB per formula unit
**V**: 26.76 Å³/atom

***

No. 3
A plane-wave DFT calculation with PBE was carried out for an optimized crystal structure of Gd3Si2Ag3Ge.

Geometry as POSCAR:
```
Gd3Si2Ag3Ge
1.0
7.134 0.000 0.000
-3.567 6.178 0.000
0.000 0.000 4.259
Ag Gd Ge Si
3 3 1 2
direct
0.744 0.000 0.000 Ag
0.256 0.256 0.000 Ag
0.000 0.744 0.000 Ag
0.418 0.000 0.500 Gd
0.000 0.418 0.500 Gd
0.582 0.582 0.500 Gd
0.000 0.000 0.500 Ge
0.667 0.333 0.000 Si
0.333 0.667 0.000 Si
```

Output
**Spin magnetization**: 0.00 μB per formula unit
**V**: 20.85 Å³/atom

***

No. 4
A plane-wave DFT calculation with PBE was carried out for an optimized crystal structure of SmGd2Ag4Ge4.

Geometry as POSCAR:
```
SmGd2Ag4Ge4
1.0
7.220 4.327 0.577
0.522 6.781 4.992
-1.264 -8.286 -0.959
Ag Gd Ge Sm
4 2 4 1
direct
0.635 0.331 0.303 Ag
0.972 0.669 0.303 Ag
0.028 0.331 0.697 Ag
0.365 0.669 0.697 Ag
0.627 0.127 0.500 Gd
0.373 0.873 0.500 Gd
0.218 0.218 0.000 Ge
0.782 0.782 0.000 Ge
0.682 0.500 0.182 Ge
0.318 0.500 0.818 Ge
0.000 0.000 0.000 Sm
```

Output
**Spin magnetization**: 0.01 μB per formula unit
**V**: 20.82 Å³/atom

***

No. 5
A plane-wave DFT calculation with PBE was carried out for an optimized crystal structure of Sm2GdAg4Ge4.

Geometry as POSCAR:
```
Sm2GdAg4Ge4
1.0
6.735 2.717 4.339
2.373 8.111 -0.376
-5.781 -5.842 2.006
Ag Gd Ge Sm
4 1 4 2
direct
0.635 0.331 0.303 Ag
0.972 0.669 0.303 Ag
0.028 0.331 0.697 Ag
0.365 0.669 0.697 Ag
0.000 0.000 0.000 Gd
0.216 0.216 0.000 Ge
0.784 0.784 0.000 Ge
0.684 0.500 0.184 Ge
0.316 0.500 0.816 Ge
0.627 0.127 0.500 Sm
0.373 0.873 0.500 Sm
```

Output
**Spin magnetization**: 0.00 μB per formula unit
**V**: 21.01 Å³/atom

***

No. 6
A plane-wave DFT calculation with PBE was carried out for an optimized crystal structure of Gd3Ag4Sn2Ge2.

Geometry as POSCAR:
```
Gd3Ag4Sn2Ge2
1.0
-2.221 3.695 7.498
2.221 -3.695 7.498
2.221 3.695 -7.498
Ag Gd Ge Sn
4 3 2 2
direct
0.480 0.176 0.304 Ag
0.128 0.824 0.304 Ag
0.872 0.176 0.696 Ag
0.520 0.824 0.696 Ag
0.500 0.500 0.000 Gd
0.868 0.368 0.500 Gd
0.132 0.632 0.500 Gd
0.284 0.284 0.000 Ge
0.716 0.716 0.000 Ge
0.195 0.000 0.195 Sn
0.805 0.000 0.805 Sn
```

Output
**Spin magnetization**: 0.00 μB per formula unit
**V**: 22.38 Å³/atom

***

No. 7
A plane-wave DFT calculation with PBE was carried out for an optimized crystal structure of GdAgGeTe3.

Geometry as POSCAR:
```
GdAgGeTe3
1.0
7.265 -2.107 0.000
7.265 2.107 0.000
0.000 0.000 11.214
Ag Gd Ge Te
2 2 2 6
direct
0.521 0.521 0.250 Ag
0.479 0.479 0.750 Ag
0.000 0.000 0.000 Gd
0.000 0.000 0.500 Gd
0.216 0.216 0.250 Ge
0.784 0.784 0.750 Ge
0.651 0.651 0.066 Te
0.892 0.892 0.250 Te
0.651 0.651 0.434 Te
0.349 0.349 0.566 Te
0.108 0.108 0.750 Te
0.349 0.349 0.934 Te
```

Output
**Spin magnetization**: 0.00 μB per formula unit
**V**: 28.61 Å³/atom
**Distance to the lowest polymorph of the same formula**: 0 meV/atom

***

No. 8
A plane-wave DFT calculation with PBE was carried out for an optimized crystal structure of GdAgGeTe3.

Geometry as POSCAR:
```
GdAgGeTe3
1.0
-1.006 -3.491 -2.606
-2.829 -6.658 10.013
-11.901 3.970 -0.723
Ag Gd Ge Te
4 4 4 12
direct
0.750 0.759 0.213 Ag
0.750 0.259 0.287 Ag
0.250 0.741 0.713 Ag
0.250 0.241 0.787 Ag
0.250 0.478 0.187 Gd
0.250 0.978 0.313 Gd
0.750 0.022 0.687 Gd
0.750 0.522 0.813 Gd
0.250 0.839 0.001 Ge
0.250 0.339 0.499 Ge
0.750 0.661 0.501 Ge
0.750 0.161 0.999 Ge
0.750 0.595 0.064 Te
0.750 0.965 0.123 Te
0.250 0.212 0.161 Te
0.250 0.712 0.339 Te
0.750 0.465 0.377 Te
0.750 0.095 0.436 Te
0.250 0.905 0.564 Te
0.250 0.535 0.623 Te
0.750 0.288 0.661 Te
0.750 0.788 0.839 Te
0.250 0.035 0.877 Te
0.250 0.405 0.936 Te
```

Output
**Spin magnetization**: 0.00 μB per formula unit
**V**: 28.91 Å³/atom
**Distance to the lowest polymorph of the same formula**: 25 meV/atom

***

| no. | electronic total energy (eV per atom) |
| --- | --- |
| 1 | -4.52 |
| 2 | -4.24 |
| 3 | -4.83 |
| 4 | -4.53 |
| 5 | -4.53 |
| 6 | -4.37 |
| 7 | -4.13 |
| 8 | -4.11 |